This record from Alexandria via LeMat-Bulk describes a geometry-optimized Tm3PPb structure. The functional is PBE.

a = 4.126 Å, b = 8.529 Å, c = 14.615 Å
α = 90.00°, β = 90.00°, γ = 90.00°
Sites, in units of the cell vectors:
Tm (0.250, 0.337, 0.514)
Tm (0.250, 0.192, 0.783)
Tm (0.750, 0.663, 0.486)
Tm (0.750, 0.308, 0.283)
Tm (0.250, 0.692, 0.717)
Tm (0.750, 0.163, 0.014)
Tm (0.750, 0.808, 0.217)
Tm (0.250, 0.476, 0.108)
Tm (0.750, 0.024, 0.608)
Tm (0.250, 0.976, 0.392)
Tm (0.250, 0.837, 0.986)
Tm (0.750, 0.524, 0.892)
Pb (0.750, 0.414, 0.675)
Pb (0.250, 0.086, 0.175)
Pb (0.250, 0.586, 0.325)
Pb (0.750, 0.914, 0.825)
P (0.750, 0.169, 0.443)
P (0.250, 0.831, 0.557)
P (0.750, 0.669, 0.057)
P (0.250, 0.331, 0.943)

Output
The value obtained for the total magnetization is 1.964 μB per cell. As for the volume: 25.71 Å³ per atom. Its crystal system is orthorhombic. The calculation puts the relative energy among the computed polymorphs at 0.0000 eV/atom. As for the formation energy: -0.865 eV/atom.


This record from Alexandria via LeMat-Bulk describes a geometry-optimized UP2Pb structure. The functional is PBE.

a = 4.016 Å, b = 4.016 Å, c = 8.717 Å
α = 76.68°, β = 76.68°, γ = 60.00°
Sites, in units of the cell vectors:
Pb (0.000, 0.000, 0.000)
P (0.114, 0.114, 0.658)
P (0.886, 0.886, 0.342)
U (0.500, 0.500, 0.500)

Output
The value obtained for the total magnetization is 0.676 μB per cell. As for the volume: 29.34 Å³ per atom. Its crystal system is trigonal. As for the formation energy: -0.170 eV/atom.


This record from Alexandria via LeMat-Bulk describes a geometry-optimized VPPb2 structure. The functional is PBE.

a = 7.951 Å, b = 7.951 Å, c = 6.409 Å
α = 51.66°, β = 51.66°, γ = 90.00°
Sites, in units of the cell vectors:
Pb (0.375, 0.393, 0.750)
Pb (0.143, 0.625, 0.250)
Pb (0.607, 0.125, 0.250)
Pb (0.875, 0.857, 0.750)
V (0.000, 0.000, 0.000)
V (0.750, 0.250, 0.500)
P (0.500, 0.500, 0.000)
P (0.250, 0.750, 0.500)

Output
The value obtained for the total magnetization is 7.106 μB per cell. As for the volume: 24.31 Å³ per atom. Its crystal system is tetragonal. As for the formation energy: 0.608 eV/atom.


This record from Alexandria via LeMat-Bulk describes a geometry-optimized PPbW2 structure. The functional is PBE.

a = 3.106 Å, b = 3.142 Å, c = 7.597 Å
α = 75.36°, β = 90.00°, γ = 90.00°
Sites, in units of the cell vectors:
P (0.500, 0.500, 0.000)
Pb (0.500, 0.000, 0.500)
W (0.000, 0.111, 0.824)
W (0.000, 0.889, 0.176)

Output
The value obtained for the total magnetization is 0.000 μB per cell. As for the volume: 17.93 Å³ per atom. Its crystal system is monoclinic. The calculation puts the relative energy among the computed polymorphs at 0.1975 eV/atom. As for the formation energy: 0.466 eV/atom.


This record from Alexandria via LeMat-Bulk describes a geometry-optimized PPb4W structure. The functional is PBE.

a = 6.230 Å, b = 6.230 Å, c = 6.230 Å
α = 60.00°, β = 60.00°, γ = 60.00°
Sites, in units of the cell vectors:
Pb (0.375, 0.375, 0.375)
Pb (0.874, 0.375, 0.375)
Pb (0.375, 0.375, 0.874)
Pb (0.375, 0.874, 0.375)
P (0.000, 0.000, 0.000)
W (0.750, 0.750, 0.750)

Output
The value obtained for the total magnetization is 2.753 μB per cell. As for the volume: 28.50 Å³ per atom. Its crystal system is cubic. As for the formation energy: 1.332 eV/atom.


This record from Alexandria via LeMat-Bulk describes a geometry-optimized PPbW structure. The functional is PBE.

a = 4.431 Å, b = 4.431 Å, c = 4.431 Å
α = 60.00°, β = 60.00°, γ = 60.00°
Sites, in units of the cell vectors:
P (0.250, 0.250, 0.250)
W (0.500, 0.500, 0.500)
Pb (0.000, 0.000, 0.000)

Output
The value obtained for the total magnetization is 0.001 μB per cell. As for the volume: 20.50 Å³ per atom. Its crystal system is cubic. The calculation puts the relative energy among the computed polymorphs at 0.8506 eV/atom. As for the formation energy: 1.102 eV/atom.


This record from Alexandria via LeMat-Bulk describes a geometry-optimized P4PbW structure. The functional is PBE.

a = 7.524 Å, b = 7.524 Å, c = 7.524 Å
α = 130.06°, β = 130.06°, γ = 73.32°
Sites, in units of the cell vectors:
P (0.676, 0.173, 0.719)
P (0.324, 0.827, 0.281)
P (0.457, 0.176, 0.004)
P (0.046, 0.043, 0.219)
P (0.327, 0.546, 0.504)
P (0.543, 0.824, 0.996)
P (0.954, 0.957, 0.781)
P (0.673, 0.454, 0.496)
W (0.375, 0.125, 0.250)
W (0.625, 0.875, 0.750)
Pb (0.125, 0.375, 0.750)
Pb (0.875, 0.625, 0.250)

Output
The value obtained for the total magnetization is 0.000 μB per cell. As for the volume: 20.30 Å³ per atom. Its crystal system is tetragonal. The calculation puts the relative energy among the computed polymorphs at 0.0000 eV/atom. As for the formation energy: 0.063 eV/atom.


This record from Alexandria via LeMat-Bulk describes a geometry-optimized P3PbW structure. The functional is PBE.

a = 4.947 Å, b = 4.947 Å, c = 4.947 Å
α = 90.00°, β = 90.00°, γ = 90.00°
Sites, in units of the cell vectors:
P (0.500, 0.000, 0.000)
P (0.000, 0.500, 0.000)
P (0.000, 0.000, 0.500)
Pb (0.000, 0.000, 0.000)
W (0.500, 0.500, 0.500)

Output
The value obtained for the total magnetization is 0.000 μB per cell. As for the volume: 24.21 Å³ per atom. Its crystal system is cubic. The calculation puts the relative energy among the computed polymorphs at 2.0380 eV/atom. As for the formation energy: 2.420 eV/atom.